Entry 1:
Compound: DyGe2Pt2
Source: the Alexandria database
Functional: SCAN
Structure: single point on PBEsol structure

a = 4.2022 Å, b = 4.2022 Å, c = 10.2124 Å
α = 90.00°, β = 90.00°, γ = 90.00°
Fractional coordinates of all 10 atoms:
Ge: 0.0000 0.0000 0.5000
Pt: 0.0000 0.5000 0.6311
Pt: 0.0000 0.0000 0.0000
Pt: 0.5000 0.0000 0.3689
Ge: 0.0000 0.5000 0.8654
Ge: 0.5000 0.5000 0.5000
Dy: 0.5000 0.0000 0.7529
Dy: 0.0000 0.5000 0.2471
Pt: 0.5000 0.5000 0.0000
Ge: 0.5000 0.0000 0.1346

E_form	-1.069	eV/atom
symmetry	P4/nmm, No. 129
M_tot	0.0	μB per cell

Entry 2:
Compound: Ni2OsRh
Source: the Alexandria database
Functional: SCAN
Structure: single point on PBEsol structure

a = 2.6060 Å, b = 2.6060 Å, c = 7.1221 Å
α = 90.00°, β = 90.00°, γ = 90.00°
Fractional coordinates of all 4 atoms:
Rh: 0.5000 0.5000 0.5000
Ni: 0.0000 0.0000 0.2475
Os: 0.5000 0.5000 0.0000
Ni: 0.0000 0.0000 0.7525

E_form	0.133	eV/atom
symmetry	P4/mmm, No. 123
M_tot	0.0	μB per cell

Entry 3:
Compound: LiAlBr
Source: the Alexandria database
Functional: SCAN
Structure: single point on PBEsol structure

a = 3.3672 Å, b = 3.3672 Å, c = 6.1825 Å
α = 105.80°, β = 105.80°, γ = 90.00°
Fractional coordinates of all 3 atoms:
Li: 0.6959 0.6959 0.3918
Al: 0.0281 0.0281 0.0561
Br: 0.2760 0.2760 0.5521

formation energy without anion corrections	-436	meV/atom
symmetry	I4mm, No. 107
M_tot	0.0	μB per cell

Entry 4:
Compound: LaCd2Br
Source: the Alexandria database
Functional: SCAN
Structure: single point on PBEsol structure

a = 3.5344 Å, b = 5.8654 Å, c = 5.9801 Å
α = 60.63°, β = 89.93°, γ = 89.86°
Fractional coordinates of all 4 atoms:
Br: 0.5000 0.0000 0.0000
La: 0.5000 0.5000 0.0000
Cd: 0.0000 0.0000 0.5000
Cd: 0.0000 0.5000 0.5000

formation energy without anion corrections	-582	meV/atom
symmetry	C2/m, No. 12
M_tot	0.0	μB per cell

Entry 5:
Compound: AlCrRh
Source: the Alexandria database
Functional: SCAN
Structure: single point on PBEsol structure

a = 2.6959 Å, b = 2.6959 Å, c = 6.2256 Å
α = 90.00°, β = 90.00°, γ = 120.00°
Site moments in Bohr magnetons follow the coordinates.
Fractional coordinates of all 3 atoms:
Rh: 0.6667 0.3333 0.3408  -0.04
Cr: 0.3333 0.6667 0.6608  1.23
Al: 0.0000 0.0000 0.9985  -0.01

E_form	-0.206	eV/atom
symmetry	P3m1, No. 156
M_tot	1.2	μB per cell

Entry 6:
Compound: RbPuO3
Source: the Alexandria database
Functional: SCAN
Structure: single point on PBEsol structure

a = 4.2555 Å, b = 4.2555 Å, c = 4.2555 Å
α = 90.00°, β = 90.00°, γ = 90.00°
Site moments in Bohr magnetons follow the coordinates.
Fractional coordinates of all 5 atoms:
Pu: 0.5000 0.5000 0.5000  3.45
O: 0.5000 0.5000 0.0000  -0.17
O: 0.5000 0.0000 0.5000  -0.17
Rb: 0.0000 0.0000 0.0000  0.01
O: 0.0000 0.5000 0.5000  -0.17

formation energy without anion corrections	-2673	meV/atom
symmetry	Pm-3m, No. 221
M_tot	3.0	μB per cell

Number 1: V 180.3 Å³ per cell. Number 2: V 48.4 Å³ per cell. Number 3: V 64.7 Å³ per cell. Number 4: V 108.0 Å³ per cell. Number 5: V 39.2 Å³ per cell. Number 6: V 77.1 Å³ per cell.